PBE+U K2Ni3F8, optimized geometry; mass density = 3.4 g cm⁻³; E = -4.306 eV/atom; magnetization = 6.0 Bohr magnetons per cell; D(E_F) = 0.00 states/eV per atom
1.0
5.8390 0.0000 -2.3127
-0.5625 5.1520 -1.4202
-0.6328 -0.2575 6.9298
K Ni F
2 3 8
Direct
0.2754 0.3289 0.5509
0.7246 0.6711 0.4491
0.0000 0.5000 0.0000
0.7433 0.0000 0.0000
0.2567 0.0000 0.0000
0.5995 0.9642 0.1989
0.4005 0.0358 0.8011
0.0902 0.9019 0.1805
0.9098 0.0981 0.8195
0.1281 0.6169 0.8171
0.6890 0.6169 0.8171
0.3110 0.3831 0.1829
0.8719 0.3831 0.1829